Entry 1:
The following is a GGA-PBE calculation of a relaxed CrCdRe2 crystal, from the Alexandria database.

Properties
The formation energy is 0.3638 eV/atom.

a b c (Å): 3.0215 4.4659 9.1779
angles (deg): 90.00 90.00 90.00
Space group Cmmm (No. 65)
Asymmetric unit:
Cr: 0.0000 0.0000 0.0000 [2 per cell]
Cd: 0.0000 0.0000 0.5000 [2 per cell]
Re: 0.0000 0.5000 0.2201 [4 per cell]


Entry 2:
The following is a GGA-PBE calculation of a relaxed AcSm3DyY crystal, from the Alexandria database.

Properties
The formation energy is 0.2163 eV/atom.

a b c (Å): 23.0615 5.4818 7.1235
angles (deg): 90.00 98.42 90.00
Space group C2/m (No. 12)
Asymmetric unit:
Ac: 0.1265 0.0000 0.4798 [4 per cell]
Sm: 0.0218 0.0000 0.7841 [4 per cell]
Sm: 0.1771 0.5000 0.7816 [4 per cell]
Sm: 0.2253 0.5000 0.3109 [4 per cell]
Dy: 0.0749 0.5000 0.1201 [4 per cell]
Y: 0.1671 0.0000 0.0255 [4 per cell]


Entry 3:
The following is a GGA-PBE calculation of a relaxed Ag3AuBr crystal, from the Alexandria database.

Properties
The uncorrected formation energy is 0.458 eV per atom.

a b c (Å): 5.2310 5.2310 5.2310
angles (deg): 90.00 90.00 90.00
Space group Pm-3m (No. 221)
Asymmetric unit:
Ag: 0.0000 0.0000 0.5000 [3 per cell]
Au: 0.0000 0.0000 0.0000 [1 per cell]
Br: 0.5000 0.5000 0.5000 [1 per cell]


Entry 4:
The following is a GGA-PBE calculation of a relaxed Y3Si3Pd crystal, from the Alexandria database.

Properties
The uncorrected formation energy is -0.924 eV per atom.

a b c (Å): 10.5508 4.2599 13.6671
angles (deg): 90.00 110.30 90.00
Space group C2/m (No. 12)
Asymmetric unit:
Y: 0.0263 0.0000 0.3764 [4 per cell]
Y: 0.1040 0.0000 0.9230 [4 per cell]
Y: 0.2426 0.0000 0.2257 [4 per cell]
Si: 0.0378 0.5000 0.2301 [4 per cell]
Si: 0.1117 0.5000 0.0752 [4 per cell]
Si: 0.1230 0.5000 0.5450 [4 per cell]
Pd: 0.2448 0.5000 0.4037 [4 per cell]